GdScCl | PBE-GGA | optimized geometry

```
GdScCl
1.0
3.548 0.000 0.000
-1.774 3.073 0.000
0.000 0.000 6.764
Sc Cl Gd
1 1 1
direct
0.667 0.333 0.364
0.333 0.667 0.650
0.000 0.000 0.986
```

DFT total energy = -8.281 eV per atom
space-group type = P3m1 (156)
crystal system = trigonal
energy relative to the elements, uncorrected = -0.8610 eV/atom


GdSeCl | PBE-GGA | optimized geometry

```
GdSeCl
1.0
4.161 0.000 0.000
-2.081 3.604 0.000
0.000 0.000 6.595
Gd Se Cl
1 1 1
direct
0.667 0.333 0.327
0.000 0.000 0.109
0.333 0.667 0.564
```

DFT total energy = -8.459 eV per atom
space-group type = P3m1 (156)
crystal system = trigonal
energy relative to the elements, uncorrected = -1.9881 eV/atom


GdSeCl | PBE-GGA | optimized geometry

```
GdSeCl
1.0
4.833 0.000 0.000
2.416 4.185 0.000
2.416 1.395 3.946
Gd Cl Se
1 1 1
direct
0.250 0.250 0.250
0.500 0.500 0.500
0.000 0.000 0.000
```

DFT total energy = -8.427 eV per atom
space-group type = F-43m (216)
crystal system = cubic
energy relative to the elements, uncorrected = -1.9560 eV/atom